DFT (GGA-PBE) results for a relaxed Mo2AsAu crystal.

Cell: 2.9901 2.9901 26.9964 Å, 90.00 90.00 120.00°
Space group R3m (No. 160, hexagonal axes)
Unique sites:
Mo  0.0000  0.0000  0.0000
Mo  0.0000  0.0000  0.2574
As  0.0000  0.0000  0.7393
Au  0.0000  0.0000  0.5041

Calculated values
volume: 69.68 Å³/f.u.
Fermi-level density of states: 14.16 states/eV per cell
formation energy: 223 meV per atom
raw total energy: -86.1 eV/cell


DFT (GGA-PBE) results for a relaxed MoAs4Au crystal.

Cell: 7.6671 7.6671 7.6671 Å, 90.00 90.00 90.00°
Space group F-43m (No. 216)
Unique sites:
Mo  0.0000  0.0000  0.0000
As  0.1256  0.1256  0.6256
Au  0.2500  0.2500  0.2500

Calculated values
volume: 112.68 Å³/f.u.
Fermi-level density of states: 13.58 states/eV per cell
formation energy: 756 meV per atom
raw total energy: -112.7 eV/cell


DFT (GGA-PBE) results for a relaxed Mo2AsAu crystal.

Cell: 2.9423 4.0416 5.6555 Å, 90.00 103.58 90.00°
Space group P2/m (No. 10)
Unique sites:
Mo  0.0969  0.0000  0.2673
As  0.5000  0.5000  0.5000
Au  0.5000  0.5000  0.0000

Calculated values
volume: 65.37 Å³/f.u.
Fermi-level density of states: 3.38 states/eV per cell
formation energy: 229 meV per atom
raw total energy: -28.7 eV/cell


DFT (GGA-PBE) results for a relaxed MoAsAu3 crystal.

Cell: 5.0214 5.0214 5.0214 Å, 90.00 90.00 90.00°
Space group Pm-3m (No. 221)
Unique sites:
Mo  0.0000  0.0000  0.0000
As  0.5000  0.5000  0.5000
Au  0.0000  0.0000  0.5000

Calculated values
volume: 126.61 Å³/f.u.
energy above the lowest structure with this stoichiometry: 416 meV/atom
Fermi-level density of states: 6.21 states/eV per cell
formation energy: 1385 meV per atom
raw total energy: -18.4 eV/cell